Entry 1:
# GGA-PBE Pm5Tl2O2, relaxed
# - V: 25.6 Å³/atom
# - DOS at the Fermi energy: 4.09 states/eV/f.u.
# - Raw formation energy: -1.423 eV per atom
# - Energy: -5.6898 eV per atom
# - Polymorph energy (0 for the lowest one): 0.000 eV per atom
data_Pm5Tl2O2
_symmetry_space_group_name_H-M 'P 4/m m m'
_symmetry_Int_Tables_number 123
_symmetry_space_group_name_Hall '-P 4 2'
_cell_length_a 4.8883
_cell_length_b 4.8883
_cell_length_c 9.6495
_cell_angle_alpha 90.00
_cell_angle_beta 90.00
_cell_angle_gamma 90.00
loop_
_atom_site_label
_atom_site_type_symbol
_atom_site_fract_x
_atom_site_fract_y
_atom_site_fract_z
Pm1 Pm 0.0000 0.0000 0.0000
Pm2 Pm 0.0000 0.5000 0.2840
Tl1 Tl 0.5000 0.5000 0.0000
Tl2 Tl 0.5000 0.5000 0.5000
O1 O 0.0000 0.0000 0.2443

=====

Entry 2:
# GGA-PBE TlZnF3, relaxed
# - V: 19.1 Å³/atom
# - DOS at the Fermi energy: 0.00 states/eV/f.u.
# - Raw formation energy: -2.021 eV per atom
# - Energy: -3.8716 eV per atom
data_TlZnF3
_symmetry_space_group_name_H-M 'A m m 2'
_symmetry_Int_Tables_number 38
_cell_length_a 3.1539
_cell_length_b 7.8580
_cell_length_c 7.7052
_cell_angle_alpha 90.00
_cell_angle_beta 90.00
_cell_angle_gamma 90.00
loop_
_symmetry_equiv_pos_as_xyz
'x,y,z'
'-x,-y,z'
'-x,y,z'
'x,-y,z'
'x,y+1/2,z+1/2'
'-x,-y+1/2,z+1/2'
'-x,y+1/2,z+1/2'
'x,-y+1/2,z+1/2'
loop_
_atom_site_label
_atom_site_type_symbol
_atom_site_fract_x
_atom_site_fract_y
_atom_site_fract_z
Tl1 Tl 0.0000 0.0000 0.0000
Zn1 Zn 0.5000 0.0000 0.5051
F1 F 0.0000 0.1607 0.5590
F2 F 0.5000 0.0000 0.2520